VASP calculation (PBE) on B5C7 after structural relaxation.

Output
* energy of formation: 4.2 eV per formula unit
* N(E_F): 0.212 states/eV per atom
* ΔE to the lowest computed polymorph: 88 meV/atom

```
B5C7
1.0
4.647 0.000 0.000
0.000 2.590 0.000
-0.661 0.000 6.542
B C
5 7
direct
0.000 0.000 0.000
0.079 0.000 0.722
0.395 0.000 0.112
0.583 0.500 0.991
0.755 0.000 0.415
0.248 0.500 0.423
0.256 0.500 0.659
0.400 0.000 0.351
0.571 0.500 0.748
0.735 0.000 0.701
0.905 0.500 0.106
0.928 0.500 0.336
```